i | This record from Alexandria describes a geometry-optimized ZnOsCl structure. The functional is PBE-GGA.

Properties
Mass density   9240 kg/m3
DOS at the Fermi energy   0.70 states/eV/atom

a b c (Å): 2.966 2.966 11.894
angles (deg): 90.00 90.00 90.00
Space group I4mm (No. 107)
One atom of each set of equivalent atoms:
Zn (0.000, 0.000, 0.000) (multiplicity 2)
Os (0.000, 0.000, 0.373) (multiplicity 2)
Cl (0.000, 0.000, 0.724) (multiplicity 2)

ii | This record from Alexandria describes a geometry-optimized ZnOsCl structure. The functional is PBE-GGA.

Properties
Mass density   8070 kg/m3
DOS at the Fermi energy   1.13 states/eV/atom

a b c (Å): 6.211 6.211 6.211
angles (deg): 90.00 90.00 90.00
Space group F-43m (No. 216)
One atom of each set of equivalent atoms:
Zn (0.000, 0.000, 0.000) (multiplicity 4)
Os (0.250, 0.250, 0.750) (multiplicity 4)
Cl (0.250, 0.250, 0.250) (multiplicity 4)

Computed stability ranking, most favorable first: i, ii